VASP calculation (PBE) on an optimized crystal structure of HfSiPS2.

Cell and atoms, written as CIF:
```
data_HfSiPS2
_cell_length_a 4.8609
_cell_length_b 4.8609
_cell_length_c 5.0860
_cell_angle_alpha 90.00
_cell_angle_beta 90.00
_cell_angle_gamma 90.00
_space_group_name_H-M_alt 'P 4/m m m'
_space_group_IT_number 123
_space_group_name_Hall '-P 4 2'
loop_
_atom_site_label
_atom_site_fract_x
_atom_site_fract_y
_atom_site_fract_z
_atom_site_occupancy
Hf1 0.0000 0.0000 0.0000 1
Si1 0.5000 0.5000 0.5000 1
P1 0.0000 0.0000 0.5000 1
S1 0.0000 0.5000 0.0000 1
```

Its crystal system is tetragonal.

***

VASP calculation (PBE) on an optimized crystal structure of HfSiPS2.

Cell and atoms, written as CIF:
```
data_HfSiPS2
_cell_length_a 4.4282
_cell_length_b 4.4282
_cell_length_c 4.5631
_cell_angle_alpha 90.00
_cell_angle_beta 90.00
_cell_angle_gamma 90.00
_space_group_name_H-M_alt 'P 4/m m m'
_space_group_IT_number 123
_space_group_name_Hall '-P 4 2'
loop_
_atom_site_label
_atom_site_fract_x
_atom_site_fract_y
_atom_site_fract_z
_atom_site_occupancy
Hf1 0.0000 0.0000 0.0000 1
Si1 0.5000 0.5000 0.5000 1
P1 0.5000 0.5000 0.0000 1
S1 0.0000 0.5000 0.5000 1
```

Its crystal system is tetragonal.

***

VASP calculation (PBE) on an optimized crystal structure of HfSnPS2.

Cell and atoms, written as CIF:
```
data_HfSnPS2
_cell_length_a 4.9108
_cell_length_b 4.9108
_cell_length_c 5.0884
_cell_angle_alpha 90.00
_cell_angle_beta 90.00
_cell_angle_gamma 90.00
_space_group_name_H-M_alt 'P 4/m m m'
_space_group_IT_number 123
_space_group_name_Hall '-P 4 2'
loop_
_atom_site_label
_atom_site_fract_x
_atom_site_fract_y
_atom_site_fract_z
_atom_site_occupancy
Hf1 0.0000 0.0000 0.0000 1
Sn1 0.5000 0.5000 0.5000 1
P1 0.0000 0.0000 0.5000 1
S1 0.0000 0.5000 0.0000 1
```

Its crystal system is tetragonal.

***

VASP calculation (PBE) on an optimized crystal structure of HfSnP2S.

Cell and atoms, written as CIF:
```
data_HfSnP2S
_cell_length_a 4.8821
_cell_length_b 4.8821
_cell_length_c 4.8758
_cell_angle_alpha 90.00
_cell_angle_beta 90.00
_cell_angle_gamma 90.00
_space_group_name_H-M_alt 'P 4/m m m'
_space_group_IT_number 123
_space_group_name_Hall '-P 4 2'
loop_
_atom_site_label
_atom_site_fract_x
_atom_site_fract_y
_atom_site_fract_z
_atom_site_occupancy
Hf1 0.0000 0.0000 0.0000 1
Sn1 0.5000 0.5000 0.5000 1
P1 0.0000 0.5000 0.5000 1
S1 0.5000 0.5000 0.0000 1
```

Its crystal system is tetragonal.

***

VASP calculation (PBE) on an optimized crystal structure of HfSnP2S.

Cell and atoms, written as CIF:
```
data_HfSnP2S
_cell_length_a 5.0315
_cell_length_b 5.0315
_cell_length_c 4.8767
_cell_angle_alpha 90.00
_cell_angle_beta 90.00
_cell_angle_gamma 90.00
_space_group_name_H-M_alt 'P 4/m m m'
_space_group_IT_number 123
_space_group_name_Hall '-P 4 2'
loop_
_atom_site_label
_atom_site_fract_x
_atom_site_fract_y
_atom_site_fract_z
_atom_site_occupancy
Hf1 0.0000 0.0000 0.0000 1
Sn1 0.5000 0.5000 0.5000 1
P1 0.0000 0.5000 0.0000 1
S1 0.0000 0.0000 0.5000 1
```

Its crystal system is tetragonal.

***

VASP calculation (PBE) on an optimized crystal structure of HfSnP2S.

Cell and atoms, written as CIF:
```
data_HfSnP2S
_cell_length_a 4.6418
_cell_length_b 4.6418
_cell_length_c 4.8428
_cell_angle_alpha 90.00
_cell_angle_beta 90.00
_cell_angle_gamma 90.00
_space_group_name_H-M_alt 'P 4/m m m'
_space_group_IT_number 123
_space_group_name_Hall '-P 4 2'
loop_
_atom_site_label
_atom_site_fract_x
_atom_site_fract_y
_atom_site_fract_z
_atom_site_occupancy
Hf1 0.0000 0.0000 0.0000 1
Sn1 0.5000 0.5000 0.0000 1
P1 0.0000 0.5000 0.5000 1
S1 0.0000 0.0000 0.5000 1
```

Its crystal system is tetragonal.

***

VASP calculation (PBE) on an optimized crystal structure of HfSnPS2.

Cell and atoms, written as CIF:
```
data_HfSnPS2
_cell_length_a 4.8367
_cell_length_b 4.8367
_cell_length_c 4.9618
_cell_angle_alpha 90.00
_cell_angle_beta 90.00
_cell_angle_gamma 90.00
_space_group_name_H-M_alt 'P 4/m m m'
_space_group_IT_number 123
_space_group_name_Hall '-P 4 2'
loop_
_atom_site_label
_atom_site_fract_x
_atom_site_fract_y
_atom_site_fract_z
_atom_site_occupancy
Hf1 0.0000 0.0000 0.0000 1
Sn1 0.5000 0.5000 0.5000 1
P1 0.5000 0.5000 0.0000 1
S1 0.0000 0.5000 0.5000 1
```

Its crystal system is tetragonal.

***

VASP calculation (PBE) on an optimized crystal structure of SrHfP2S.

Cell and atoms, written as CIF:
```
data_SrHfP2S
_cell_length_a 5.0768
_cell_length_b 5.0768
_cell_length_c 4.6240
_cell_angle_alpha 90.00
_cell_angle_beta 90.00
_cell_angle_gamma 90.00
_space_group_name_H-M_alt 'P 4/m m m'
_space_group_IT_number 123
_space_group_name_Hall '-P 4 2'
loop_
_atom_site_label
_atom_site_fract_x
_atom_site_fract_y
_atom_site_fract_z
_atom_site_occupancy
Sr1 0.0000 0.0000 0.0000 1
Hf1 0.5000 0.5000 0.0000 1
P1 0.0000 0.5000 0.5000 1
S1 0.5000 0.5000 0.5000 1
```

Its crystal system is tetragonal.

***

Energy relative to the elements, uncorrected readings, ordered: 0.10 0.04 -0.41 0.80 -0.06 0.44 0.55 0.11 eV/atom